[1]
Below is a relaxed La2ScPa crystal, with properties calculated at the PBE level.

Summary:
E_tot   -25.0 eV for the cell shown
ΔE_f   176 meV per atom
SG   P4/mmm (123)
Energy relative to the lowest polymorph listed for this composition   0.000 eV/atom

```
4
Lattice="3.425 0.000 0.000 0.000 3.425 0.000 0.000 0.000 10.031" Properties=species:S:1:pos:R:3 pbc="T T T"
La 0.000 0.000 2.432
La 0.000 0.000 7.599
Sc 1.712 1.712 5.016
Pa 1.712 1.712 0.000
```

***

[2]
Below is a relaxed TlIr crystal, with properties calculated at the PBE level.

Summary:
E_tot   -19.2 eV for the cell shown
ΔE_f   826 meV per atom
SG   Fd-3m (227)

```
4
Lattice="0.000 3.368 3.368 3.368 0.000 3.368 3.368 3.368 0.000" Properties=species:S:1:pos:R:3 pbc="T T T"
Tl 0.842 0.842 0.842
Tl 5.894 5.894 5.894
Ir 2.526 2.526 2.526
Ir 4.210 4.210 4.210
```

***

[3]
Below is a relaxed MgCoRe crystal, with properties calculated at the PBE level.

Summary:
E_tot   -82.7 eV for the cell shown
ΔE_f   162 meV per atom
SG   Pnma (62)
Energy relative to the lowest polymorph listed for this composition   0.098 eV/atom

```
12
Lattice="6.693 0.000 0.000 0.000 3.782 0.000 0.000 0.000 7.179" Properties=species:S:1:pos:R:3 pbc="T T T"
Mg 0.184 0.946 1.139
Mg 3.162 2.837 4.728
Mg 3.531 0.946 2.451
Mg 6.509 2.837 6.040
Co 1.573 2.837 2.513
Co 1.773 0.946 6.102
Co 4.920 2.837 1.077
Co 5.120 0.946 4.666
Re 0.839 0.946 3.916
Re 2.508 2.837 0.326
Re 4.185 0.946 6.852
Re 5.855 2.837 3.263
```